# 1
# Tl3P2Pd3 PBE optimized geometry
# Energy   -4.28 eV/atom
# Space-group type   R-3m, No. 166
data_Tl3P2Pd3
_chemical_formula_sum 'Tl3 P2 Pd3'
_space_group_name_H-M_alt 'P 1'
_space_group_IT_number 1
_space_group_name_Hall 'P 1'
_cell_length_a 6.9971
_cell_length_b 6.9971
_cell_length_c 6.9971
_cell_angle_alpha 48.21
_cell_angle_beta 48.21
_cell_angle_gamma 48.21
loop_
_atom_site_label
_atom_site_type_symbol
_atom_site_fract_x
_atom_site_fract_y
_atom_site_fract_z
Tl1 Tl 0.0000 0.0000 0.0000
Tl2 Tl 0.4135 0.4135 0.4135
Tl3 Tl 0.5865 0.5865 0.5865
P1 P 0.2584 0.2584 0.2584
P2 P 0.7416 0.7416 0.7416
Pd1 Pd 0.0000 0.0000 0.5000
Pd2 Pd 0.0000 0.5000 0.0000
Pd3 Pd 0.5000 0.0000 0.0000

---

# 2
# ScGaAg2O4 PBE optimized geometry
# Energy   -6.09 eV/atom
# Space-group type   P-3m1, No. 164
data_ScGaAg2O4
_chemical_formula_sum 'Sc1 Ga1 Ag2 O4'
_space_group_name_H-M_alt 'P 1'
_space_group_IT_number 1
_space_group_name_Hall 'P 1'
_cell_length_a 3.0926
_cell_length_b 3.0926
_cell_length_c 12.5272
_cell_angle_alpha 90.00
_cell_angle_beta 90.00
_cell_angle_gamma 120.00
loop_
_atom_site_label
_atom_site_type_symbol
_atom_site_fract_x
_atom_site_fract_y
_atom_site_fract_z
Sc1 Sc 0.0000 0.0000 0.0000
Ga1 Ga 0.0000 0.0000 0.5000
Ag1 Ag 0.3333 0.6667 0.7470
Ag2 Ag 0.6667 0.3333 0.2530
O1 O 0.3333 0.6667 0.5787
O2 O 0.3333 0.6667 0.9138
O3 O 0.6667 0.3333 0.0862
O4 O 0.6667 0.3333 0.4213

---

# 3
# TbPrAg2Ge2 PBE optimized geometry
# Energy   -4.67 eV/atom
# Space-group type   P3m1, No. 156
data_TbPrAg2Ge2
_chemical_formula_sum 'Tb1 Pr1 Ag2 Ge2'
_space_group_name_H-M_alt 'P 1'
_space_group_IT_number 1
_space_group_name_Hall 'P 1'
_cell_length_a 4.5468
_cell_length_b 4.5468
_cell_length_c 7.5285
_cell_angle_alpha 90.00
_cell_angle_beta 90.00
_cell_angle_gamma 120.00
loop_
_atom_site_label
_atom_site_type_symbol
_atom_site_fract_x
_atom_site_fract_y
_atom_site_fract_z
Tb1 Tb 0.0000 0.0000 0.0000
Pr1 Pr 0.0000 0.0000 0.4981
Ag1 Ag 0.3333 0.6667 0.7385
Ag2 Ag 0.6667 0.3333 0.2049
Ge1 Ge 0.3333 0.6667 0.2825
Ge2 Ge 0.6667 0.3333 0.7986

---

# 4
# AcTeOs PBE optimized geometry
# Relative energy among the computed polymorphs   0 meV/atom
# Space-group type   F-43m, No. 216
data_AcTeOs
_chemical_formula_sum 'Ac4 Te4 Os4'
_space_group_name_H-M_alt 'P 1'
_space_group_IT_number 1
_space_group_name_Hall 'P 1'
_cell_length_a 6.9276
_cell_length_b 6.9276
_cell_length_c 6.9276
_cell_angle_alpha 90.00
_cell_angle_beta 90.00
_cell_angle_gamma 90.00
loop_
_atom_site_label
_atom_site_type_symbol
_atom_site_fract_x
_atom_site_fract_y
_atom_site_fract_z
Ac1 Ac 0.0000 0.0000 0.0000
Ac2 Ac 0.0000 0.5000 0.5000
Ac3 Ac 0.5000 0.0000 0.5000
Ac4 Ac 0.5000 0.5000 0.0000
Te1 Te 0.0000 0.0000 0.5000
Te2 Te 0.0000 0.5000 0.0000
Te3 Te 0.5000 0.0000 0.0000
Te4 Te 0.5000 0.5000 0.5000
Os1 Os 0.2500 0.2500 0.2500
Os2 Os 0.2500 0.7500 0.7500
Os3 Os 0.7500 0.2500 0.7500
Os4 Os 0.7500 0.7500 0.2500

---

# 5
# YTlFeTc PBE optimized geometry
# Relative energy among the computed polymorphs   33 meV/atom
# Space-group type   F-43m, No. 216
data_YTlFeTc
_chemical_formula_sum 'Y4 Tl4 Fe4 Tc4'
_space_group_name_H-M_alt 'P 1'
_space_group_IT_number 1
_space_group_name_Hall 'P 1'
_cell_length_a 6.6747
_cell_length_b 6.6747
_cell_length_c 6.6747
_cell_angle_alpha 90.00
_cell_angle_beta 90.00
_cell_angle_gamma 90.00
loop_
_atom_site_label
_atom_site_type_symbol
_atom_site_fract_x
_atom_site_fract_y
_atom_site_fract_z
Y1 Y 0.0000 0.0000 0.0000
Y2 Y 0.0000 0.5000 0.5000
Y3 Y 0.5000 0.0000 0.5000
Y4 Y 0.5000 0.5000 0.0000
Tl1 Tl 0.2500 0.2500 0.2500
Tl2 Tl 0.2500 0.7500 0.7500
Tl3 Tl 0.7500 0.2500 0.7500
Tl4 Tl 0.7500 0.7500 0.2500
Fe1 Fe 0.0000 0.0000 0.5000
Fe2 Fe 0.0000 0.5000 0.0000
Fe3 Fe 0.5000 0.0000 0.0000
Fe4 Fe 0.5000 0.5000 0.5000
Tc1 Tc 0.2500 0.2500 0.7500
Tc2 Tc 0.2500 0.7500 0.2500
Tc3 Tc 0.7500 0.2500 0.2500
Tc4 Tc 0.7500 0.7500 0.7500

---

# 6
# NaTlFeTe PBE optimized geometry
# Relative energy among the computed polymorphs   0 meV/atom
# Space-group type   F-43m, No. 216
data_NaTlFeTe
_chemical_formula_sum 'Na4 Tl4 Fe4 Te4'
_space_group_name_H-M_alt 'P 1'
_space_group_IT_number 1
_space_group_name_Hall 'P 1'
_cell_length_a 7.1372
_cell_length_b 7.1372
_cell_length_c 7.1372
_cell_angle_alpha 90.00
_cell_angle_beta 90.00
_cell_angle_gamma 90.00
loop_
_atom_site_label
_atom_site_type_symbol
_atom_site_fract_x
_atom_site_fract_y
_atom_site_fract_z
Na1 Na 0.0000 0.0000 0.0000
Na2 Na 0.0000 0.5000 0.5000
Na3 Na 0.5000 0.0000 0.5000
Na4 Na 0.5000 0.5000 0.0000
Tl1 Tl 0.2500 0.2500 0.2500
Tl2 Tl 0.2500 0.7500 0.7500
Tl3 Tl 0.7500 0.2500 0.7500
Tl4 Tl 0.7500 0.7500 0.2500
Fe1 Fe 0.0000 0.0000 0.5000
Fe2 Fe 0.0000 0.5000 0.0000
Fe3 Fe 0.5000 0.0000 0.0000
Fe4 Fe 0.5000 0.5000 0.5000
Te1 Te 0.2500 0.2500 0.7500
Te2 Te 0.2500 0.7500 0.2500
Te3 Te 0.7500 0.2500 0.2500
Te4 Te 0.7500 0.7500 0.7500

---

# 7
# Sr2Cd2SiGe PBE optimized geometry
# Energy   -2.95 eV/atom
# Space-group type   P-6m2, No. 187
data_Sr2Cd2SiGe
_chemical_formula_sum 'Sr2 Cd2 Si1 Ge1'
_space_group_name_H-M_alt 'P 1'
_space_group_IT_number 1
_space_group_name_Hall 'P 1'
_cell_length_a 4.6174
_cell_length_b 4.6174
_cell_length_c 8.8884
_cell_angle_alpha 90.00
_cell_angle_beta 90.00
_cell_angle_gamma 120.00
loop_
_atom_site_label
_atom_site_type_symbol
_atom_site_fract_x
_atom_site_fract_y
_atom_site_fract_z
Sr1 Sr 0.0000 0.0000 0.2485
Sr2 Sr 0.0000 0.0000 0.7515
Cd1 Cd 0.3333 0.6667 0.5000
Cd2 Cd 0.6667 0.3333 0.0000
Si1 Si 0.3333 0.6667 0.0000
Ge1 Ge 0.6667 0.3333 0.5000

---

# 8
# PrUCo PBE optimized geometry
# Formation energy   0.566 eV per atom
# Relative energy among the computed polymorphs   0 meV/atom
# Space-group type   F-43m, No. 216
data_PrUCo
_chemical_formula_sum 'Pr4 U4 Co4'
_space_group_name_H-M_alt 'P 1'
_space_group_IT_number 1
_space_group_name_Hall 'P 1'
_cell_length_a 6.5167
_cell_length_b 6.5167
_cell_length_c 6.5167
_cell_angle_alpha 90.00
_cell_angle_beta 90.00
_cell_angle_gamma 90.00
loop_
_atom_site_label
_atom_site_type_symbol
_atom_site_fract_x
_atom_site_fract_y
_atom_site_fract_z
Pr1 Pr 0.0000 0.0000 0.0000
Pr2 Pr 0.0000 0.5000 0.5000
Pr3 Pr 0.5000 0.0000 0.5000
Pr4 Pr 0.5000 0.5000 0.0000
U1 U 0.0000 0.0000 0.5000
U2 U 0.0000 0.5000 0.0000
U3 U 0.5000 0.0000 0.0000
U4 U 0.5000 0.5000 0.5000
Co1 Co 0.2500 0.2500 0.2500
Co2 Co 0.2500 0.7500 0.7500
Co3 Co 0.7500 0.2500 0.7500
Co4 Co 0.7500 0.7500 0.2500

---

# 9
# LiZrScNi PBE optimized geometry
# Relative energy among the computed polymorphs   0 meV/atom
# Space-group type   F-43m, No. 216
data_LiZrScNi
_chemical_formula_sum 'Li4 Zr4 Sc4 Ni4'
_space_group_name_H-M_alt 'P 1'
_space_group_IT_number 1
_space_group_name_Hall 'P 1'
_cell_length_a 6.4940
_cell_length_b 6.4940
_cell_length_c 6.4940
_cell_angle_alpha 90.00
_cell_angle_beta 90.00
_cell_angle_gamma 90.00
loop_
_atom_site_label
_atom_site_type_symbol
_atom_site_fract_x
_atom_site_fract_y
_atom_site_fract_z
Li1 Li 0.0000 0.0000 0.0000
Li2 Li 0.0000 0.5000 0.5000
Li3 Li 0.5000 0.0000 0.5000
Li4 Li 0.5000 0.5000 0.0000
Zr1 Zr 0.2500 0.2500 0.7500
Zr2 Zr 0.2500 0.7500 0.2500
Zr3 Zr 0.7500 0.2500 0.2500
Zr4 Zr 0.7500 0.7500 0.7500
Sc1 Sc 0.2500 0.2500 0.2500
Sc2 Sc 0.2500 0.7500 0.7500
Sc3 Sc 0.7500 0.2500 0.7500
Sc4 Sc 0.7500 0.7500 0.2500
Ni1 Ni 0.0000 0.0000 0.5000
Ni2 Ni 0.0000 0.5000 0.0000
Ni3 Ni 0.5000 0.0000 0.0000
Ni4 Ni 0.5000 0.5000 0.5000

---

# 10
# Ac2NiIr PBE optimized geometry
# Formation energy   -0.479 eV per atom
# Space-group type   P2_1/m, No. 11
data_Ac2NiIr
_chemical_formula_sum 'Ac4 Ni2 Ir2'
_space_group_name_H-M_alt 'P 1'
_space_group_IT_number 1
_space_group_name_Hall 'P 1'
_cell_length_a 6.1646
_cell_length_b 4.3467
_cell_length_c 8.2913
_cell_angle_alpha 90.00
_cell_angle_beta 109.77
_cell_angle_gamma 90.00
loop_
_atom_site_label
_atom_site_type_symbol
_atom_site_fract_x
_atom_site_fract_y
_atom_site_fract_z
Ac1 Ac 0.2245 0.2500 0.4325
Ac2 Ac 0.2282 0.2500 0.9306
Ac3 Ac 0.7718 0.7500 0.0694
Ac4 Ac 0.7755 0.7500 0.5675
Ni1 Ni 0.3541 0.7500 0.2119
Ni2 Ni 0.6459 0.2500 0.7881
Ir1 Ir 0.3470 0.7500 0.7131
Ir2 Ir 0.6530 0.2500 0.2869

---

# 11
# PrNdI2BrN PBE optimized geometry
# Relative energy among the computed polymorphs   13 meV/atom
# Space-group type   C2/m, No. 12
data_PrNdI2BrN
_chemical_formula_sum 'Pr2 Nd2 I4 Br2 N2'
_space_group_name_H-M_alt 'P 1'
_space_group_IT_number 1
_space_group_name_Hall 'P 1'
_cell_length_a 9.9562
_cell_length_b 9.9562
_cell_length_c 12.2900
_cell_angle_alpha 124.44
_cell_angle_beta 124.44
_cell_angle_gamma 23.87
loop_
_atom_site_label
_atom_site_type_symbol
_atom_site_fract_x
_atom_site_fract_y
_atom_site_fract_z
Pr1 Pr 0.1361 0.1361 0.2851
Pr2 Pr 0.8639 0.8639 0.7149
Nd1 Nd 0.4267 0.4267 0.0400
Nd2 Nd 0.5733 0.5733 0.9600
I1 I 0.0381 0.0381 0.7326
I2 I 0.2265 0.2265 0.1287
I3 I 0.7735 0.7735 0.8713
I4 I 0.9619 0.9619 0.2674
Br1 Br 0.3285 0.3285 0.4955
Br2 Br 0.6715 0.6715 0.5045
N1 N 0.4269 0.4269 0.8487
N2 N 0.5731 0.5731 0.1513

---

# 12
# TaCuAgAs PBE optimized geometry
# Relative energy among the computed polymorphs   346 meV/atom
# Space-group type   F-43m, No. 216
data_TaCuAgAs
_chemical_formula_sum 'Ta4 Cu4 Ag4 As4'
_space_group_name_H-M_alt 'P 1'
_space_group_IT_number 1
_space_group_name_Hall 'P 1'
_cell_length_a 6.4839
_cell_length_b 6.4839
_cell_length_c 6.4839
_cell_angle_alpha 90.00
_cell_angle_beta 90.00
_cell_angle_gamma 90.00
loop_
_atom_site_label
_atom_site_type_symbol
_atom_site_fract_x
_atom_site_fract_y
_atom_site_fract_z
Ta1 Ta 0.0000 0.0000 0.0000
Ta2 Ta 0.0000 0.5000 0.5000
Ta3 Ta 0.5000 0.0000 0.5000
Ta4 Ta 0.5000 0.5000 0.0000
Cu1 Cu 0.2500 0.2500 0.7500
Cu2 Cu 0.2500 0.7500 0.2500
Cu3 Cu 0.7500 0.2500 0.2500
Cu4 Cu 0.7500 0.7500 0.7500
Ag1 Ag 0.2500 0.2500 0.2500
Ag2 Ag 0.2500 0.7500 0.7500
Ag3 Ag 0.7500 0.2500 0.7500
Ag4 Ag 0.7500 0.7500 0.2500
As1 As 0.0000 0.0000 0.5000
As2 As 0.0000 0.5000 0.0000
As3 As 0.5000 0.0000 0.0000
As4 As 0.5000 0.5000 0.5000